{
  "formula": "CrMo2Ir",
  "functional": "SCAN",
  "state": "PBEsol geometry",
  "de_polymorph_kcal_per_mol_atoms": 0.00,
  "final_energy_ev_per_cell": -159.4,
  "e_form_kj_per_mol_atoms": -4.5,
  "vol_a3_per_atom": 14.04,
  "lattice": [[3.810, 0.000, 0.000], [0.000, 3.810, 0.000], [0.000, 0.000, 3.869]],
  "species": ["Cr", "Ir", "Mo", "Mo"],
  "fractional_positions": [[0.500, 0.500, 0.500], [0.000, 0.000, 0.500], [0.000, 0.500, 0.000], [0.500, 0.000, 0.000]]
}

{
  "formula": "BePb2",
  "functional": "SCAN",
  "state": "PBEsol geometry",
  "de_polymorph_kcal_per_mol_atoms": 0.00,
  "final_energy_ev_per_cell": -309.9,
  "e_form_kj_per_mol_atoms": 31.4,
  "vol_a3_per_atom": 23.53,
  "lattice": [[-1.694, -3.489, -0.612], [4.689, -1.789, -2.779], [2.393, -2.108, 5.395]],
  "species": ["Be", "Be", "Pb", "Pb", "Pb", "Pb"],
  "fractional_positions": [[0.000, 0.000, 0.000], [0.500, 0.500, 0.500], [0.000, 0.236, 0.650], [0.000, 0.764, 0.350], [0.500, 0.736, 0.850], [0.500, 0.264, 0.150]]
}

{
  "formula": "Mg4ZnSe2",
  "functional": "SCAN",
  "state": "PBEsol geometry",
  "de_polymorph_kcal_per_mol_atoms": 1.43,
  "final_energy_ev_per_cell": -74.9,
  "vol_a3_per_atom": 32.49,
  "lattice": [[6.662, 0.001, 0.000], [-2.391, 6.218, 0.000], [-2.135, -3.109, 5.491]],
  "species": ["Mg", "Mg", "Mg", "Mg", "Se", "Se", "Zn"],
  "fractional_positions": [[0.775, 0.500, 0.275], [0.225, 0.500, 0.725], [0.500, 0.775, 0.275], [0.500, 0.225, 0.725], [0.750, 0.250, 0.500], [0.250, 0.750, 0.500], [0.000, 0.000, 0.000]]
}

{
  "formula": "BaScMo2",
  "functional": "SCAN",
  "state": "PBEsol geometry",
  "de_polymorph_kcal_per_mol_atoms": 5.98,
  "final_energy_ev_per_cell": -119.7,
  "e_form_kj_per_mol_atoms": 92.9,
  "vol_a3_per_atom": 20.97,
  "lattice": [[-1.926, -2.111, -0.338], [2.396, -1.545, -0.395], [0.388, -1.964, 10.043]],
  "species": ["Ba", "Mo", "Mo", "Sc"],
  "fractional_positions": [[0.500, 0.500, 0.000], [0.000, 0.000, 0.282], [0.000, 0.000, 0.718], [0.500, 0.500, 0.500]]
}

{
  "formula": "IrRuCl2",
  "functional": "SCAN",
  "state": "PBEsol geometry",
  "de_polymorph_kcal_per_mol_atoms": 4.83,
  "final_energy_ev_per_cell": -118.6,
  "vol_a3_per_atom": 17.20,
  "lattice": [[-2.268, 1.697, -0.157], [-1.782, -2.601, -2.382], [-0.411, -2.352, 6.154]],
  "species": ["Ru", "Ir", "Cl", "Cl"],
  "fractional_positions": [[0.213, 0.713, 0.427], [0.537, 0.537, 0.074], [0.994, 0.994, 0.988], [0.755, 0.255, 0.510]]
}

{
  "formula": "LiAuBr2",
  "functional": "SCAN",
  "state": "PBEsol geometry",
  "de_polymorph_kcal_per_mol_atoms": 9.61,
  "final_energy_ev_per_cell": -112.2,
  "vol_a3_per_atom": 20.95,
  "lattice": [[4.912, 0.000, 0.000], [2.456, 4.254, 0.000], [2.456, 1.418, 4.011]],
  "species": ["Au", "Br", "Br", "Li"],
  "fractional_positions": [[0.000, 0.000, 0.000], [0.250, 0.250, 0.250], [0.750, 0.750, 0.750], [0.500, 0.500, 0.500]]
}

{
  "formula": "CaCo2GeTe",
  "functional": "SCAN",
  "state": "PBEsol geometry",
  "final_energy_ev_per_cell": -93.4,
  "vol_a3_per_atom": 23.12,
  "lattice": [[4.547, 0.000, 0.000], [0.000, 4.547, 0.000], [0.000, 0.000, 5.592]],
  "species": ["Ge", "Te", "Co", "Co", "Ca"],
  "fractional_positions": [[0.500, 0.500, 0.500], [0.000, 0.000, 0.500], [0.000, 0.500, 0.000], [0.500, 0.000, 0.000], [0.000, 0.000, 0.000]]
}

{
  "formula": "Sc4CdSe",
  "functional": "SCAN",
  "state": "PBEsol geometry",
  "final_energy_ev_per_cell": -106.5,
  "vol_a3_per_atom": 22.27,
  "lattice": [[5.739, 0.000, 0.000], [2.869, 4.970, 0.000], [2.869, 1.657, 4.685]],
  "species": ["Cd", "Sc", "Sc", "Sc", "Sc", "Se"],
  "fractional_positions": [[0.000, 0.000, 0.000], [0.877, 0.374, 0.374], [0.374, 0.374, 0.374], [0.374, 0.374, 0.877], [0.374, 0.877, 0.374], [0.750, 0.750, 0.750]]
}

{
  "formula": "Li2Zr4As3P3O24",
  "functional": "SCAN",
  "state": "PBEsol geometry",
  "final_energy_ev_per_cell": -927.7,
  "vol_a3_per_atom": 14.37,
  "lattice": [[-0.449, -6.833, 5.826], [8.383, -2.556, -2.352], [4.833, 7.717, 8.841]],
  "species": ["Li", "Li", "Li", "Li", "Zr", "Zr", "Zr", "Zr", "Zr", "Zr", "Zr", "Zr", "As", "As", "As", "As", "As", "As", "P", "P", "P", "P", "P", "P", "O", "O", "O", "O", "O", "O", "O", "O", "O", "O", "O", "O", "O", "O", "O", "O", "O", "O", "O", "O", "O", "O", "O", "O", "O", "O", "O", "O", "O", "O", "O", "O", "O", "O", "O", "O", "O", "O", "O", "O", "O", "O", "O", "O", "O", "O", "O", "O"],
  "fractional_positions": [[0.200, 0.019, 0.184], [0.700, 0.981, 0.684], [0.785, 0.470, 0.825], [0.285, 0.530, 0.325], [0.759, 0.233, 0.116], [0.259, 0.767, 0.616], [0.244, 0.274, 0.882], [0.744, 0.726, 0.382], [0.741, 0.792, 0.884], [0.241, 0.208, 0.384], [0.262, 0.699, 0.115], [0.762, 0.301, 0.615], [0.901, 0.873, 0.147], [0.401, 0.127, 0.647], [0.099, 0.628, 0.851], [0.599, 0.372, 0.351], [0.471, 0.995, 0.015], [0.971, 0.005, 0.515], [0.531, 0.501, 0.986], [0.031, 0.499, 0.486], [0.883, 0.150, 0.857], [0.383, 0.850, 0.357], [0.119, 0.350, 0.143], [0.619, 0.650, 0.643], [0.820, 0.199, 0.962], [0.320, 0.801, 0.462], [0.178, 0.309, 0.036], [0.678, 0.691, 0.536], [0.848, 0.829, 0.021], [0.348, 0.171, 0.521], [0.151, 0.670, 0.978], [0.651, 0.330, 0.478], [0.813, 0.999, 0.824], [0.313, 0.001, 0.324], [0.188, 0.499, 0.181], [0.688, 0.501, 0.681], [0.668, 0.771, 0.724], [0.168, 0.229, 0.224], [0.336, 0.730, 0.274], [0.836, 0.270, 0.774], [0.546, 0.869, 0.934], [0.046, 0.131, 0.434], [0.450, 0.611, 0.057], [0.950, 0.389, 0.557], [0.648, 0.582, 0.919], [0.148, 0.418, 0.419], [0.338, 0.914, 0.089], [0.838, 0.086, 0.589], [0.897, 0.057, 0.165], [0.397, 0.943, 0.665], [0.117, 0.447, 0.827], [0.617, 0.553, 0.327], [0.616, 0.391, 0.057], [0.116, 0.609, 0.557], [0.384, 0.116, 0.935], [0.884, 0.884, 0.435], [0.696, 0.266, 0.269], [0.196, 0.734, 0.769], [0.296, 0.226, 0.729], [0.796, 0.774, 0.229], [0.912, 0.656, 0.835], [0.412, 0.344, 0.335], [0.084, 0.829, 0.167], [0.584, 0.171, 0.667], [0.599, 0.069, 0.098], [0.099, 0.931, 0.598], [0.418, 0.425, 0.912], [0.918, 0.575, 0.412], [0.949, 0.362, 0.139], [0.449, 0.638, 0.639], [0.053, 0.140, 0.865], [0.553, 0.860, 0.365]]
}

{
  "formula": "Re2Ru",
  "functional": "SCAN",
  "state": "PBEsol geometry",
  "de_polymorph_kcal_per_mol_atoms": 0.00,
  "final_energy_ev_per_cell": -354.5,
  "e_form_kj_per_mol_atoms": -7.5,
  "vol_a3_per_atom": 14.13,
  "lattice": [[2.733, 0.000, 0.000], [-1.366, 4.969, 0.001], [0.000, -1.567, 6.245]],
  "species": ["Re", "Re", "Re", "Re", "Ru", "Ru"],
  "fractional_positions": [[0.002, 0.004, 0.997], [0.390, 0.779, 0.280], [0.665, 0.331, 0.334], [0.332, 0.664, 0.668], [0.056, 0.111, 0.610], [0.722, 0.443, 0.945]]
}

{
  "formula": "CaP2Br",
  "functional": "SCAN",
  "state": "PBEsol geometry",
  "final_energy_ev_per_cell": -53.6,
  "vol_a3_per_atom": 23.79,
  "lattice": [[-1.537, 2.424, -1.961], [-3.382, -1.255, 1.100], [0.629, 4.799, 5.439]],
  "species": ["Br", "Ca", "P", "P"],
  "fractional_positions": [[0.000, 0.607, 0.572], [0.500, 0.137, 0.762], [0.000, 0.061, 0.076], [0.500, 0.695, 0.090]]
}

{
  "formula": "Li3Fe3Sn2O10",
  "functional": "SCAN",
  "state": "PBEsol geometry",
  "final_energy_ev_per_cell": -226.8,
  "vol_a3_per_atom": 10.25,
  "lattice": [[-2.698, -3.241, 2.602], [2.483, -0.187, 4.418], [-4.351, 4.368, 5.142]],
  "species": ["Li", "Li", "Li", "Fe", "Fe", "Fe", "Sn", "Sn", "O", "O", "O", "O", "O", "O", "O", "O", "O", "O"],
  "fractional_positions": [[0.533, 0.803, 0.374], [0.000, 0.500, 0.500], [0.467, 0.197, 0.626], [0.500, 0.000, 0.000], [0.034, 0.705, 0.089], [0.966, 0.295, 0.911], [0.010, 0.876, 0.699], [0.990, 0.124, 0.301], [0.224, 0.957, 0.879], [0.786, 0.671, 0.951], [0.763, 0.890, 0.524], [0.271, 0.797, 0.210], [0.176, 0.485, 0.694], [0.824, 0.515, 0.306], [0.729, 0.203, 0.790], [0.237, 0.110, 0.476], [0.214, 0.329, 0.049], [0.776, 0.043, 0.121]]
}

{
  "formula": "CaBeBr",
  "functional": "SCAN",
  "state": "PBEsol geometry",
  "de_polymorph_kcal_per_mol_atoms": 11.16,
  "final_energy_ev_per_cell": -32.7,
  "vol_a3_per_atom": 25.86,
  "lattice": [[4.787, 0.000, 0.000], [2.394, 4.146, 0.000], [2.394, 1.382, 3.909]],
  "species": ["Be", "Ca", "Br"],
  "fractional_positions": [[0.750, 0.750, 0.750], [0.500, 0.500, 0.500], [0.000, 0.000, 0.000]]
}

{
  "formula": "Ni3AgBi",
  "functional": "SCAN",
  "state": "PBEsol geometry",
  "final_energy_ev_per_cell": -152.4,
  "e_form_kj_per_mol_atoms": 118.0,
  "vol_a3_per_atom": 18.79,
  "lattice": [[4.546, 0.000, 0.000], [0.000, 4.546, 0.000], [0.000, 0.000, 4.546]],
  "species": ["Ni", "Ni", "Ni", "Bi", "Ag"],
  "fractional_positions": [[0.000, 0.500, 0.000], [0.000, 0.000, 0.500], [0.500, 0.000, 0.000], [0.500, 0.500, 0.500], [0.000, 0.000, 0.000]]
}

{
  "formula": "Tl2BrF",
  "functional": "SCAN",
  "state": "PBEsol geometry",
  "final_energy_ev_per_cell": -345.6,
  "vol_a3_per_atom": 27.81,
  "lattice": [[-3.636, 5.740, 3.665], [5.098, -3.479, 2.375], [6.805, 2.908, 2.197]],
  "species": ["Tl", "Tl", "Tl", "Tl", "Br", "Br", "F", "F"],
  "fractional_positions": [[0.557, 0.750, 0.375], [0.193, 0.750, 0.875], [0.875, 0.250, 0.557], [0.375, 0.250, 0.193], [0.750, 0.500, 0.750], [0.000, 0.000, 0.000], [0.250, 0.500, 0.250], [0.500, 0.000, 0.500]]
}

{
  "formula": "SrMgW2",
  "functional": "SCAN",
  "state": "PBEsol geometry",
  "final_energy_ev_per_cell": -163.6,
  "e_form_kj_per_mol_atoms": 73.0,
  "vol_a3_per_atom": 20.28,
  "lattice": [[2.917, 0.011, 0.000], [-1.020, 2.733, 0.000], [0.000, 0.000, 10.163]],
  "species": ["Mg", "Sr", "W", "W"],
  "fractional_positions": [[0.000, 0.000, 0.537], [0.500, 0.500, 0.231], [0.000, 0.000, 0.962], [0.500, 0.500, 0.770]]
}

{
  "formula": "NbBiO3",
  "functional": "SCAN",
  "state": "PBEsol geometry",
  "final_energy_ev_per_cell": -131.1,
  "vol_a3_per_atom": 15.60,
  "lattice": [[-1.590, 0.919, 3.858], [-0.497, -4.169, 0.788], [3.934, -0.155, 1.658]],
  "species": ["Nb", "Bi", "O", "O", "O"],
  "fractional_positions": [[0.500, 0.500, 0.500], [0.000, 0.000, 0.000], [0.000, 0.500, 0.000], [0.000, 0.000, 0.500], [0.500, 0.000, 0.000]]
}

{
  "formula": "Mn3SiTc",
  "functional": "SCAN",
  "state": "PBEsol geometry",
  "de_polymorph_kcal_per_mol_atoms": 0.00,
  "final_energy_ev_per_cell": -95.2,
  "vol_a3_per_atom": 13.21,
  "lattice": [[4.042, 0.000, 0.000], [0.000, 4.042, 0.000], [0.000, 0.000, 4.042]],
  "species": ["Si", "Mn", "Mn", "Mn", "Tc"],
  "fractional_positions": [[0.000, 0.000, 0.000], [0.000, 0.500, 0.000], [0.000, 0.000, 0.500], [0.500, 0.000, 0.000], [0.500, 0.500, 0.500]]
}

{
  "formula": "AlCrIn2",
  "functional": "SCAN",
  "state": "PBEsol geometry",
  "final_energy_ev_per_cell": -92.6,
  "e_form_kj_per_mol_atoms": 7.8,
  "vol_a3_per_atom": 19.15,
  "lattice": [[-1.154, 2.659, 0.764], [-1.918, -0.172, -2.297], [-5.670, -3.905, 5.028]],
  "species": ["Cr", "Al", "In", "In"],
  "fractional_positions": [[0.500, 0.500, 0.729], [0.000, 0.000, 0.555], [0.000, 0.000, 0.946], [0.500, 0.500, 0.270]]
}

{
  "formula": "Sr2CaSb",
  "functional": "SCAN",
  "state": "PBEsol geometry",
  "final_energy_ev_per_cell": -186.0,
  "vol_a3_per_atom": 47.60,
  "lattice": [[-6.080, -1.384, 0.313], [-1.408, -6.838, 4.689], [-3.737, 3.804, 6.504]],
  "species": ["Sb", "Sb", "Ca", "Ca", "Sr", "Sr", "Sr", "Sr"],
  "fractional_positions": [[0.750, 0.500, 0.500], [0.000, 0.000, 0.000], [0.250, 0.500, 0.500], [0.500, 0.000, 0.000], [0.010, 0.115, 0.615], [0.740, 0.885, 0.385], [0.375, 0.615, 0.885], [0.875, 0.385, 0.115]]
}

{
  "formula": "CoSi2Ni",
  "functional": "SCAN",
  "state": "PBEsol geometry",
  "final_energy_ev_per_cell": -54.8,
  "vol_a3_per_atom": 10.69,
  "lattice": [[-1.889, -2.029, -1.933], [-0.976, -1.708, 2.747], [-1.478, 4.189, 0.001]],
  "species": ["Co", "Ni", "Si", "Si"],
  "fractional_positions": [[0.500, 0.500, 0.000], [0.250, 0.750, 0.500], [0.000, 0.000, 0.000], [0.750, 0.250, 0.500]]
}

{
  "formula": "LiTaSb",
  "functional": "SCAN",
  "state": "PBEsol geometry",
  "de_polymorph_kcal_per_mol_atoms": 0.00,
  "final_energy_ev_per_cell": -105.7,
  "vol_a3_per_atom": 17.48,
  "lattice": [[-2.953, -0.707, 0.423], [0.880, -1.832, 3.081], [0.462, 5.149, 0.719]],
  "species": ["Sb", "Ta", "Li"],
  "fractional_positions": [[0.656, 0.656, 0.313], [0.337, 0.337, 0.673], [0.007, 0.007, 0.014]]
}

{
  "formula": "InSb2CSe",
  "functional": "SCAN",
  "state": "PBEsol geometry",
  "final_energy_ev_per_cell": -130.7,
  "vol_a3_per_atom": 25.34,
  "lattice": [[-1.555, 1.877, 3.138], [-2.619, -4.757, 1.547], [4.488, -1.463, 3.099]],
  "species": ["Sb", "Sb", "C", "Se", "In"],
  "fractional_positions": [[0.000, 0.000, 0.500], [0.000, 0.500, 0.000], [0.500, 0.000, 0.000], [0.500, 0.500, 0.500], [0.000, 0.000, 0.000]]
}

{
  "formula": "SbAs2Au",
  "functional": "SCAN",
  "state": "PBEsol geometry",
  "final_energy_ev_per_cell": -145.7,
  "vol_a3_per_atom": 21.19,
  "lattice": [[-2.122, 0.841, -2.601], [0.323, -4.790, -1.813], [-2.857, 0.715, 4.866]],
  "species": ["Sb", "As", "As", "Au"],
  "fractional_positions": [[0.211, 0.711, 0.423], [0.054, 0.054, 0.109], [0.759, 0.259, 0.519], [0.475, 0.475, 0.950]]
}